1.
DFT (PBEsol) results for an optimized crystal structure of CaHf2CrRe.

```
data_CaHf2CrRe
_space_group_name_H-M_alt 'P 4/m m m'
_space_group_IT_number 123
_space_group_name_Hall '-P 4 2'
_cell_length_a 4.858
_cell_length_b 4.858
_cell_length_c 4.478
_cell_angle_alpha 90.00
_cell_angle_beta 90.00
_cell_angle_gamma 90.00
loop_
_atom_site_label
_atom_site_type_symbol
_atom_site_fract_x
_atom_site_fract_y
_atom_site_fract_z
_atom_site_occupancy
Ca1 Ca 0.000 0.000 0.000 1
Hf1 Hf 0.000 0.500 0.000 1
Cr1 Cr 0.500 0.500 0.500 1
Re1 Re 0.000 0.000 0.500 1
```

Properties
electronic total energy = -6.9530 eV per atom
total magnetic moment = 3.524 μB per cell
ΔH_f (0 K) = 2.390 eV per atom
V = 21.14 Å³/atom

2.
DFT (PBEsol) results for an optimized crystal structure of Sr2CaHfCr.

```
data_Sr2CaHfCr
_space_group_name_H-M_alt 'P 4/m m m'
_space_group_IT_number 123
_space_group_name_Hall '-P 4 2'
_cell_length_a 6.004
_cell_length_b 6.004
_cell_length_c 5.789
_cell_angle_alpha 90.00
_cell_angle_beta 90.00
_cell_angle_gamma 90.00
loop_
_atom_site_label
_atom_site_type_symbol
_atom_site_fract_x
_atom_site_fract_y
_atom_site_fract_z
_atom_site_occupancy
Sr1 Sr 0.000 0.500 0.000 1
Ca1 Ca 0.000 0.000 0.500 1
Hf1 Hf 0.000 0.000 0.000 1
Cr1 Cr 0.500 0.500 0.500 1
```

Properties
electronic total energy = -3.8475 eV per atom
total magnetic moment = 2.880 μB per cell
ΔH_f (0 K) = 1.464 eV per atom
V = 41.73 Å³/atom

3.
DFT (PBEsol) results for an optimized crystal structure of CaCr2Hg.

```
data_CaCr2Hg
_space_group_name_H-M_alt 'P 4/m m m'
_space_group_IT_number 123
_space_group_name_Hall '-P 4 2'
_cell_length_a 3.556
_cell_length_b 3.556
_cell_length_c 6.659
_cell_angle_alpha 90.00
_cell_angle_beta 90.00
_cell_angle_gamma 90.00
loop_
_atom_site_label
_atom_site_type_symbol
_atom_site_fract_x
_atom_site_fract_y
_atom_site_fract_z
_atom_site_occupancy
Ca1 Ca 0.000 0.000 0.000 1
Cr1 Cr 0.500 0.500 0.289 1
Hg1 Hg 0.000 0.000 0.500 1
```

Properties
electronic total energy = -5.0959 eV per atom
total magnetic moment = 8.428 μB per cell
ΔH_f (0 K) = 0.700 eV per atom
V = 21.05 Å³/atom

4.
DFT (PBEsol) results for an optimized crystal structure of CaCrHg2.

```
data_CaCrHg2
_space_group_name_H-M_alt 'F -4 3 m'
_space_group_IT_number 216
_space_group_name_Hall 'F -4 2 3'
_cell_length_a 6.939
_cell_length_b 6.939
_cell_length_c 6.939
_cell_angle_alpha 90.00
_cell_angle_beta 90.00
_cell_angle_gamma 90.00
loop_
_atom_site_label
_atom_site_type_symbol
_atom_site_fract_x
_atom_site_fract_y
_atom_site_fract_z
_atom_site_occupancy
Ca1 Ca 0.000 0.000 0.000 1
Cr1 Cr 0.250 0.250 0.250 1
Hg1 Hg 0.000 0.000 0.500 1
Hg2 Hg 0.250 0.250 0.750 1
```

Properties
electronic total energy = -3.2841 eV per atom
total magnetic moment = 17.020 μB per cell
ΔH_f (0 K) = 0.093 eV per atom
V = 20.88 Å³/atom

5.
DFT (PBEsol) results for an optimized crystal structure of CaTa2CrHg.

```
data_CaTa2CrHg
_space_group_name_H-M_alt 'P 4/m m m'
_space_group_IT_number 123
_space_group_name_Hall '-P 4 2'
_cell_length_a 4.745
_cell_length_b 4.745
_cell_length_c 4.177
_cell_angle_alpha 90.00
_cell_angle_beta 90.00
_cell_angle_gamma 90.00
loop_
_atom_site_label
_atom_site_type_symbol
_atom_site_fract_x
_atom_site_fract_y
_atom_site_fract_z
_atom_site_occupancy
Ca1 Ca 0.000 0.000 0.000 1
Ta1 Ta 0.000 0.500 0.000 1
Cr1 Cr 0.000 0.000 0.500 1
Hg1 Hg 0.500 0.500 0.500 1
```

Properties
electronic total energy = -5.1973 eV per atom
total magnetic moment = 0.006 μB per cell
ΔH_f (0 K) = 2.412 eV per atom
V = 18.81 Å³/atom

6.
DFT (PBEsol) results for an optimized crystal structure of Ca2CrI2.

```
data_Ca2CrI2
_space_group_name_H-M_alt 'I 4/m m m'
_space_group_IT_number 139
_space_group_name_Hall '-I 4 2'
_cell_length_a 6.204
_cell_length_b 6.204
_cell_length_c 8.590
_cell_angle_alpha 90.00
_cell_angle_beta 90.00
_cell_angle_gamma 90.00
loop_
_atom_site_label
_atom_site_type_symbol
_atom_site_fract_x
_atom_site_fract_y
_atom_site_fract_z
_atom_site_occupancy
Ca1 Ca 0.000 0.500 0.250 1
Cr1 Cr 0.000 0.000 0.000 1
I1 I 0.000 0.000 0.300 1
```

Properties
formation energy (no corrections) = -0.1265 eV per atom
electronic total energy = -3.7349 eV per atom
total magnetic moment = 6.283 μB per cell
V = 33.06 Å³/atom

7.
DFT (PBEsol) results for an optimized crystal structure of Ca3CrI.

```
data_Ca3CrI
_space_group_name_H-M_alt 'P m -3 m'
_space_group_IT_number 221
_space_group_name_Hall '-P 4 2 3'
_cell_length_a 5.780
_cell_length_b 5.780
_cell_length_c 5.780
_cell_angle_alpha 90.00
_cell_angle_beta 90.00
_cell_angle_gamma 90.00
loop_
_atom_site_label
_atom_site_type_symbol
_atom_site_fract_x
_atom_site_fract_y
_atom_site_fract_z
_atom_site_occupancy
Ca1 Ca 0.000 0.000 0.500 1
Cr1 Cr 0.500 0.500 0.500 1
I1 I 0.000 0.000 0.000 1
```

Properties
formation energy (no corrections) = 0.4722 eV per atom
electronic total energy = -3.2094 eV per atom
total magnetic moment = 6.298 μB per cell
V = 38.62 Å³/atom

8.
DFT (PBEsol) results for an optimized crystal structure of CaCrI2O.

```
data_CaCrI2O
_space_group_name_H-M_alt 'P 4/m m m'
_space_group_IT_number 123
_space_group_name_Hall '-P 4 2'
_cell_length_a 5.718
_cell_length_b 5.718
_cell_length_c 3.688
_cell_angle_alpha 90.00
_cell_angle_beta 90.00
_cell_angle_gamma 90.00
loop_
_atom_site_label
_atom_site_type_symbol
_atom_site_fract_x
_atom_site_fract_y
_atom_site_fract_z
_atom_site_occupancy
Ca1 Ca 0.000 0.000 0.000 1
Cr1 Cr 0.500 0.500 0.500 1
I1 I 0.000 0.500 0.500 1
O1 O 0.500 0.500 0.000 1
```

Properties
formation energy (no corrections) = -0.9914 eV per atom
electronic total energy = -5.2230 eV per atom
total magnetic moment = 3.379 μB per cell
V = 24.11 Å³/atom

9.
DFT (PBEsol) results for an optimized crystal structure of CaCrTe2I.

```
data_CaCrTe2I
_space_group_name_H-M_alt 'P 4/m m m'
_space_group_IT_number 123
_space_group_name_Hall '-P 4 2'
_cell_length_a 5.280
_cell_length_b 5.280
_cell_length_c 5.418
_cell_angle_alpha 90.00
_cell_angle_beta 90.00
_cell_angle_gamma 90.00
loop_
_atom_site_label
_atom_site_type_symbol
_atom_site_fract_x
_atom_site_fract_y
_atom_site_fract_z
_atom_site_occupancy
Ca1 Ca 0.000 0.000 0.000 1
Cr1 Cr 0.500 0.500 0.500 1
Te1 Te 0.000 0.500 0.500 1
I1 I 0.500 0.500 0.000 1
```

Properties
formation energy (no corrections) = -0.3677 eV per atom
electronic total energy = -4.6066 eV per atom
total magnetic moment = 3.339 μB per cell
V = 30.21 Å³/atom

10.
DFT (PBEsol) results for an optimized crystal structure of Ca2CrIn.

```
data_Ca2CrIn
_space_group_name_H-M_alt 'P 4/m m m'
_space_group_IT_number 123
_space_group_name_Hall '-P 4 2'
_cell_length_a 3.731
_cell_length_b 3.731
_cell_length_c 7.576
_cell_angle_alpha 90.00
_cell_angle_beta 90.00
_cell_angle_gamma 90.00
loop_
_atom_site_label
_atom_site_type_symbol
_atom_site_fract_x
_atom_site_fract_y
_atom_site_fract_z
_atom_site_occupancy
Ca1 Ca 0.000 0.000 0.246 1
Cr1 Cr 0.500 0.500 0.000 1
In1 In 0.500 0.500 0.500 1
```

Properties
electronic total energy = -4.1836 eV per atom
total magnetic moment = 4.646 μB per cell
ΔH_f (0 K) = 0.189 eV per atom
V = 26.37 Å³/atom

11.
DFT (PBEsol) results for an optimized crystal structure of Ca2CrIn.

```
data_Ca2CrIn
_space_group_name_H-M_alt 'P 4 m m'
_space_group_IT_number 99
_space_group_name_Hall 'P 4 -2'
_cell_length_a 3.659
_cell_length_b 3.659
_cell_length_c 8.215
_cell_angle_alpha 90.00
_cell_angle_beta 90.00
_cell_angle_gamma 90.00
loop_
_atom_site_label
_atom_site_type_symbol
_atom_site_fract_x
_atom_site_fract_y
_atom_site_fract_z
_atom_site_occupancy
Ca1 Ca 0.000 0.000 0.000 1
Ca2 Ca 0.500 0.500 0.357 1
Cr1 Cr 0.000 0.000 0.603 1
In1 In 0.500 0.500 0.754 1
```

Properties
electronic total energy = -4.1840 eV per atom
total magnetic moment = 4.247 μB per cell
ΔH_f (0 K) = 0.189 eV per atom
V = 27.50 Å³/atom

12.
DFT (PBEsol) results for an optimized crystal structure of Ca2CrIn.

```
data_Ca2CrIn
_space_group_name_H-M_alt 'A m m 2'
_space_group_IT_number 38
_space_group_name_Hall 'A 2 -2'
_cell_length_a 4.955
_cell_length_b 3.745
_cell_length_c 11.951
_cell_angle_alpha 90.00
_cell_angle_beta 90.00
_cell_angle_gamma 90.00
loop_
_atom_site_label
_atom_site_type_symbol
_atom_site_fract_x
_atom_site_fract_y
_atom_site_fract_z
_atom_site_occupancy
Ca1 Ca 0.000 0.000 0.000 1
Ca2 Ca 0.500 0.000 0.308 1
Cr1 Cr 0.000 0.000 0.716 1
In1 In 0.500 0.000 0.588 1
```

Properties
electronic total energy = -4.1993 eV per atom
total magnetic moment = 9.594 μB per cell
ΔH_f (0 K) = 0.173 eV per atom
V = 27.72 Å³/atom